{"formula": "HfV3F", "functional": "GGA+U", "state": "optimized geometry", "dos_ef_per_ev_cell": 5.26, "relative_energy_ev_per_atom": 0.000, "e_tot_ev_per_cell": -32.06, "lattice": [[4.4156, 0.0000, 0.0000], [0.0000, 4.4156, 0.0000], [0.0000, 0.0000, 4.4156]], "species": ["Hf", "V", "V", "V", "F"], "frac_coords": [[0.0000, 0.0000, 0.0000], [0.0000, 0.5000, 0.5000], [0.5000, 0.0000, 0.5000], [0.5000, 0.5000, 0.0000], [0.5000, 0.5000, 0.5000]]}